This record from Alexandria describes LaTlW2 at its PBEsol-relaxed geometry. The functional is meta-GGA SCAN.

SG = R-3m
Theoretical density = 14.7 g/cm3
Energy of formation from the pure elements = 1184.3 meV/atom

a = 2.9599 Å, b = 2.9599 Å, c = 10.7513 Å
α = 82.09°, β = 82.09°, γ = 60.00°
Last column: nearest neighbours and their distance in Å.
Fractional positions:
1 Tl 0.0000 0.0000 0.0000  6 Tl 2.96, 6 W 2.97
2 La 0.5000 0.5000 0.5000  6 La 2.96
3 W 0.2571 0.2571 0.2287  6 W 2.96, 3 Tl 2.97
4 W 0.7429 0.7429 0.7713  6 W 2.96, 3 Tl 2.97